[1]
The following is a PBE-GGA calculation of crystalline Si2HgAu at its relaxed geometry, from Alexandria.

```
Si2HgAu
1.0
-2.102 -0.319 -1.760
2.578 -0.490 -2.992
0.061 -7.272 1.243
Au Si Hg
1 2 1
direct
0.500 0.500 0.250 Au
0.000 0.000 0.439 Si
0.000 0.000 0.061 Si
0.500 0.500 0.750 Hg
```

Values from the calculation:
total moment: 0.00 Bohr magnetons per cell
calculated volume: 20.258 Å³ per atom
ΔE_f (raw): 0.40 eV/atom



[2]
The following is a PBE-GGA calculation of crystalline PRh2 at its relaxed geometry, from Alexandria.

```
PRh2
1.0
-0.351 1.376 -2.551
0.028 -2.918 0.093
-5.639 -0.031 0.759
P Rh
1 2
direct
0.000 0.000 0.000 P
0.667 0.333 0.710 Rh
0.333 0.667 0.290 Rh
```

Values from the calculation:
total moment: 0.00 Bohr magnetons per cell
E: -21.04 eV per formula unit
calculated volume: 14.001 Å³ per atom



[3]
The following is a PBE-GGA calculation of crystalline RbIrCN2 at its relaxed geometry, from Alexandria.

```
RbIrCN2
1.0
-2.116 2.703 1.153
-3.635 -3.635 1.850
1.683 -0.051 3.206
C N Rb Ir
1 2 1 1
direct
0.000 0.000 0.000 C
0.000 0.000 0.500 N
0.500 0.000 0.000 N
0.000 0.500 0.000 Rb
0.500 0.500 0.500 Ir
```

Values from the calculation:
total moment: 1.87 Bohr magnetons per cell
calculated volume: 14.330 Å³ per atom
ΔE_f (raw): 3.36 eV/atom



[4]
The following is a PBE-GGA calculation of crystalline SmPIr2 at its relaxed geometry, from Alexandria.

```
SmPIr2
1.0
4.039 0.000 0.000
0.000 4.513 -0.815
0.000 -0.417 4.567
Ir P Sm
2 1 1
direct
0.500 0.000 0.500 Ir
0.500 0.500 0.000 Ir
0.500 0.500 0.500 P
0.000 0.000 0.000 Sm
```

Values from the calculation:
total moment: 0.00 Bohr magnetons per cell
E: -30.28 eV per formula unit
calculated volume: 20.469 Å³ per atom



no.,mass density (g/cm3)
1,9.3
2,9.4
3,7.4
4,11.5